# 1
# Pt3Rh PBE optimized geometry
# crystal system	orthorhombic
# VASP energy	-6.38	eV/atom
# volume	15.299	Å³/atom
data_Pt3Rh
_chemical_formula_sum 'Pt6 Rh2'
_cell_length_a 5.559
_cell_length_b 7.880
_cell_length_c 2.794
_cell_angle_alpha 90.00
_cell_angle_beta 90.00
_cell_angle_gamma 90.00
_space_group_name_H-M_alt 'C m m m'
_space_group_IT_number 65
_space_group_name_Hall '-C 2 2'
loop_
_atom_site_label
_atom_site_type_symbol
_atom_site_fract_x
_atom_site_fract_y
_atom_site_fract_z
Pt1 Pt 0.000 0.000 0.000
Pt2 Pt 0.250 0.250 0.500
Rh1 Rh 0.000 0.500 0.000

=====

# 2
# PtRh PBE optimized geometry
# crystal system	trigonal
# VASP energy	-6.72	eV/atom
# volume	14.923	Å³/atom
data_PtRh
_chemical_formula_sum 'Pt6 Rh6'
_cell_length_a 2.7553
_cell_length_b 2.7553
_cell_length_c 27.2377
_cell_angle_alpha 90.00
_cell_angle_beta 90.00
_cell_angle_gamma 120.00
_space_group_name_H-M_alt 'R -3 m'
_space_group_IT_number 166
_space_group_name_Hall '-R 3 2"'
loop_
_atom_site_label
_atom_site_type_symbol
_atom_site_fract_x
_atom_site_fract_y
_atom_site_fract_z
Pt1 Pt 0.0000 0.0000 0.1229
Rh1 Rh 0.0000 0.0000 0.3724